Entry 1:
First-principles (PBE) data for crystalline LaNiPN at its relaxed geometry, as listed in Alexandria via LeMat-Bulk.

Values from the calculation:
- mass density (Mg/m³) = 6.81
- DOS at the Fermi energy (states/eV per atom) = 0.421
- energy relative to the elements, uncorrected (meV per atom) = -1172

Geometry as CIF:
```
data_LaNiPN
_chemical_formula_sum 'La2 Ni2 P2 N2'
_space_group_name_H-M_alt 'P 1'
_space_group_IT_number 1
_space_group_name_Hall 'P 1'
_cell_length_a 3.830
_cell_length_b 3.830
_cell_length_c 8.070
_cell_angle_alpha 90.00
_cell_angle_beta 90.00
_cell_angle_gamma 90.00
loop_
_atom_site_label
_atom_site_type_symbol
_atom_site_fract_x
_atom_site_fract_y
_atom_site_fract_z
_atom_site_occupancy
Ni1 Ni 0.500 0.500 0.500 1
Ni2 Ni 0.000 0.000 0.500 1
La1 La 0.500 0.000 0.169 1
N1 N 0.500 0.000 0.861 1
N2 N 0.000 0.500 0.139 1
P1 P 0.500 0.000 0.648 1
P2 P 0.000 0.500 0.352 1
La2 La 0.000 0.500 0.831 1
```



Entry 2:
First-principles (PBE) data for crystalline La2Ni2P2N at its relaxed geometry, as listed in Alexandria via LeMat-Bulk.

Values from the calculation:
- mass density (Mg/m³) = 6.54
- DOS at the Fermi energy (states/eV per atom) = 0.948
- energy relative to the elements, uncorrected (meV per atom) = -1023

Geometry as CIF:
```
data_La2Ni2P2N
_chemical_formula_sum 'La2 Ni2 P2 N1'
_space_group_name_H-M_alt 'P 1'
_space_group_IT_number 1
_space_group_name_Hall 'P 1'
_cell_length_a 3.791
_cell_length_b 5.910
_cell_length_c 6.196
_cell_angle_alpha 68.62
_cell_angle_beta 72.19
_cell_angle_gamma 71.29
loop_
_atom_site_label
_atom_site_type_symbol
_atom_site_fract_x
_atom_site_fract_y
_atom_site_fract_z
_atom_site_occupancy
La1 La 0.551 0.184 0.713 1
N1 N 0.000 0.000 0.000 1
Ni1 Ni 0.799 0.314 0.088 1
Ni2 Ni 0.201 0.686 0.912 1
P1 P 0.183 0.365 0.269 1
P2 P 0.817 0.635 0.731 1
La2 La 0.449 0.816 0.287 1
```



Entry 3:
First-principles (PBE) data for crystalline LaNi2PN at its relaxed geometry, as listed in Alexandria via LeMat-Bulk.

Values from the calculation:
- mass density (Mg/m³) = 7.22
- DOS at the Fermi energy (states/eV per atom) = 0.796
- energy relative to the elements, uncorrected (meV per atom) = -857

Geometry as CIF:
```
data_LaNi2PN
_chemical_formula_sum 'La2 Ni4 P2 N2'
_space_group_name_H-M_alt 'P 1'
_space_group_IT_number 1
_space_group_name_Hall 'P 1'
_cell_length_a 3.643
_cell_length_b 5.886
_cell_length_c 6.796
_cell_angle_alpha 90.00
_cell_angle_beta 90.00
_cell_angle_gamma 108.03
loop_
_atom_site_label
_atom_site_type_symbol
_atom_site_fract_x
_atom_site_fract_y
_atom_site_fract_z
_atom_site_occupancy
P1 P 0.269 0.539 0.250 1
P2 P 0.731 0.461 0.750 1
Ni1 Ni 0.825 0.650 0.444 1
N1 N 0.000 0.000 0.500 1
La1 La 0.459 0.918 0.750 1
N2 N 0.000 0.000 0.000 1
La2 La 0.541 0.082 0.250 1
Ni2 Ni 0.175 0.350 0.944 1
Ni3 Ni 0.825 0.650 0.056 1
Ni4 Ni 0.175 0.350 0.556 1
```



Entry 4:
First-principles (PBE) data for crystalline La4Pa3NiN8 at its relaxed geometry, as listed in Alexandria via LeMat-Bulk.

Values from the calculation:
- mass density (Mg/m³) = 9.07
- DOS at the Fermi energy (states/eV per atom) = 0.604
- energy relative to the elements, uncorrected (meV per atom) = -1234

Geometry as CIF:
```
data_La4Pa3NiN8
_chemical_formula_sum 'La4 Pa3 Ni1 N8'
_space_group_name_H-M_alt 'P 1'
_space_group_IT_number 1
_space_group_name_Hall 'P 1'
_cell_length_a 7.098
_cell_length_b 7.225
_cell_length_c 7.101
_cell_angle_alpha 119.42
_cell_angle_beta 119.99
_cell_angle_gamma 90.00
loop_
_atom_site_label
_atom_site_type_symbol
_atom_site_fract_x
_atom_site_fract_y
_atom_site_fract_z
_atom_site_occupancy
Pa1 Pa 0.000 0.500 0.500 1
Pa2 Pa 0.500 0.500 0.000 1
Pa3 Pa 0.500 0.500 0.500 1
N1 N 0.265 0.295 0.530 1
La1 La 0.000 0.000 0.500 1
N2 N 0.714 0.713 0.964 1
N3 N 0.250 0.713 0.964 1
La2 La 0.500 0.000 0.500 1
La3 La 0.500 0.000 0.000 1
N4 N 0.750 0.287 0.036 1
N5 N 0.735 0.705 0.470 1
N6 N 0.250 0.714 0.500 1
La4 La 0.000 0.000 0.000 1
N7 N 0.750 0.286 0.500 1
N8 N 0.286 0.287 0.036 1
Ni1 Ni 0.000 0.500 0.000 1
```